1.
Compound: LiHPt3
Source: the Alexandria database
Functional: GGA-PBEsol
Structure: optimized geometry

POSCAR file:
```
LiHPt3
1.0
3.915 0.000 0.000
0.000 3.915 0.000
0.000 0.000 3.915
Li H Pt
1 1 3
direct
0.000 0.000 0.000
0.500 0.500 0.500
0.000 0.500 0.500
0.500 0.000 0.500
0.500 0.500 0.000
```

Energy   -5.454 eV/atom

2.
Compound: ZnFe2
Source: the Alexandria database
Functional: GGA-PBEsol
Structure: optimized geometry

POSCAR file:
```
ZnFe2
1.0
4.020 0.000 0.000
-2.010 3.482 0.000
0.000 0.000 2.458
Zn Fe
1 2
direct
0.000 0.000 0.000
0.333 0.667 0.371
0.667 0.333 0.629
```

Energy   -6.474 eV/atom

3.
Compound: TeHPb2
Source: the Alexandria database
Functional: GGA-PBEsol
Structure: optimized geometry

POSCAR file:
```
TeHPb2
1.0
-2.978 2.978 6.327
2.978 -2.978 6.327
2.978 2.978 -6.327
Te H Pb
2 2 4
direct
0.000 0.000 0.000
0.750 0.250 0.500
0.250 0.750 0.500
0.500 0.500 0.000
0.246 0.625 0.121
0.375 0.496 0.621
0.504 0.125 0.879
0.875 0.754 0.379
```

Energy   -3.518 eV/atom

4.
Compound: Sr2TlPb
Source: the Alexandria database
Functional: GGA-PBEsol
Structure: optimized geometry

POSCAR file:
```
Sr2TlPb
1.0
0.000 4.027 4.027
4.027 0.000 4.027
4.027 4.027 0.000
Sr Tl Pb
2 1 1
direct
0.250 0.250 0.250
0.750 0.750 0.750
0.000 0.000 0.000
0.500 0.500 0.500
```

Energy   -3.099 eV/atom

5.
Compound: ReIr2Os
Source: the Alexandria database
Functional: GGA-PBEsol
Structure: optimized geometry

POSCAR file:
```
ReIr2Os
1.0
2.719 0.000 0.000
0.000 4.344 0.000
0.000 0.000 4.764
Re Ir Os
1 2 1
direct
0.000 0.000 0.000
0.500 0.000 0.495
0.500 0.500 0.827
0.000 0.500 0.327
```

Energy   -11.446 eV/atom

6.
Compound: Li2MnP2O7
Source: the Alexandria database
Functional: GGA-PBEsol
Structure: optimized geometry

POSCAR file:
```
Li2MnP2O7
1.0
6.320 0.000 0.000
0.000 12.985 0.000
0.000 0.000 7.245
Li Mn P O
8 4 8 28
direct
0.249 0.022 0.250
0.249 0.478 0.250
0.251 0.522 0.750
0.251 0.978 0.750
0.749 0.022 0.250
0.749 0.478 0.250
0.751 0.522 0.750
0.751 0.978 0.750
0.250 0.250 0.250
0.250 0.750 0.750
0.750 0.250 0.250
0.750 0.750 0.750
0.000 0.140 0.553
0.000 0.360 0.553
0.000 0.640 0.447
0.000 0.860 0.447
0.500 0.140 0.947
0.500 0.360 0.947
0.500 0.640 0.053
0.500 0.860 0.053
0.000 0.058 0.699
0.000 0.250 0.657
0.000 0.442 0.699
0.000 0.558 0.301
0.000 0.750 0.343
0.000 0.942 0.301
0.201 0.138 0.430
0.201 0.362 0.430
0.201 0.638 0.569
0.201 0.862 0.569
0.299 0.138 0.069
0.299 0.362 0.069
0.299 0.638 0.930
0.299 0.862 0.930
0.500 0.058 0.801
0.500 0.250 0.843
0.500 0.442 0.801
0.500 0.558 0.199
0.500 0.750 0.157
0.500 0.942 0.199
0.701 0.138 0.070
0.701 0.362 0.070
0.701 0.638 0.931
0.701 0.862 0.931
0.799 0.138 0.431
0.799 0.362 0.431
0.799 0.638 0.570
0.799 0.862 0.570
```

E above lowest polymorph   55 meV/atom
Energy   -7.292 eV/atom

7.
Compound: TaHgRu2
Source: the Alexandria database
Functional: GGA-PBEsol
Structure: optimized geometry

POSCAR file:
```
TaHgRu2
1.0
-1.923 1.923 4.211
1.923 -1.923 4.211
1.923 1.923 -4.211
Ta Hg Ru
1 1 2
direct
0.000 0.000 0.000
0.750 0.250 0.500
0.250 0.750 0.500
0.500 0.500 0.000
```

Energy   -8.204 eV/atom

8.
Compound: CaInBr
Source: the Alexandria database
Functional: GGA-PBEsol
Structure: optimized geometry

POSCAR file:
```
CaInBr
1.0
3.729 0.000 0.000
-1.865 3.230 0.000
0.000 0.000 7.899
Ca In Br
1 1 1
direct
0.000 0.000 0.000
0.667 0.333 0.681
0.333 0.667 0.230
```

E above lowest polymorph   0 meV/atom
Energy   -3.112 eV/atom

Q: Which of these has the highest energy?
A: Sr2TlPb

Q: What is the energy in the seventh record?
A: -8.204 eV/atom

Q: Which formula does entry 2 have?
A: ZnFe2

Repeat the seventh record exactly.
Compound: TaHgRu2
Source: the Alexandria database
Functional: GGA-PBEsol
Structure: optimized geometry

POSCAR file:
```
TaHgRu2
1.0
-1.923 1.923 4.211
1.923 -1.923 4.211
1.923 1.923 -4.211
Ta Hg Ru
1 1 2
direct
0.000 0.000 0.000
0.750 0.250 0.500
0.250 0.750 0.500
0.500 0.500 0.000
```

Energy   -8.204 eV/atom